# 1
Density functional theory data (PBE) for an optimized crystal structure of ErHfH4.

Unit cell a=3.3878 b=3.3878 c=5.0712 alpha=89.99 beta=90.00 gamma=90.00
Element x y z (fractional)
H: 0.5013 0.9973 0.7251
H: 0.0013 0.4973 0.2712
H: 0.0013 0.4973 0.7251
H: 0.5013 0.9973 0.2712
Hf: 0.0013 0.9973 0.4981
Er: 0.5013 0.4973 0.9981


# 2
Density functional theory data (PBE) for an optimized crystal structure of Sc6Pb3C.

Unit cell a=8.0376 b=7.4699 c=7.4699 alpha=52.47 beta=47.56 gamma=47.56
Element x y z (fractional)
Pb: 0.0000 0.0000 0.0000
Pb: 0.8337 0.6762 0.6762
Pb: 0.1663 0.3238 0.3238
Sc: 0.3805 0.6724 0.2058
Sc: 0.8990 0.2580 0.2580
Sc: 0.1010 0.7420 0.7420
Sc: 0.6195 0.7942 0.3276
Sc: 0.3805 0.2058 0.6724
Sc: 0.6195 0.3276 0.7942
C: 0.5000 0.5000 0.5000

## Properties
energy of formation from the pure elements: -301 meV per atom


| no. | final energy (eV per formula unit) | DOS at the Fermi energy (states/eV/cell) |
| --- | --- | --- |
| 1 | -31.6 | 1.0 |
| 2 | -61.3 | 8.9 |